Material: CsLiWS4
Method: DFT, PBE-GGA
State: relaxed

Results
The volume is 451.3 Å³ per cell. The calculation puts the total magnetization at 0.00 μB/f.u. The calculation puts the density of states at the Fermi level at 0.000 states/eV per atom. For the uncorrected formation energy, the calculation gives -0.944 eV/atom. Its crystal system is monoclinic.

Cell and atoms, written as CIF:
```
data_CsLiWS4
_space_group_name_H-M_alt 'P 1 21/m 1'
_space_group_IT_number 11
_cell_length_a 6.014
_cell_length_b 7.826
_cell_length_c 9.992
_cell_angle_alpha 90.00
_cell_angle_beta 106.34
_cell_angle_gamma 90.00
loop_
_space_group_symop_operation_xyz
'x,y,z'
'-x,-y,-z'
'-x,y+1/2,-z'
'x,-y+1/2,z'
loop_
_atom_site_label
_atom_site_fract_x
_atom_site_fract_y
_atom_site_fract_z
Cs1 0.192 0.250 0.357
Li1 0.356 0.750 0.193
W1 0.134 0.250 0.782
S1 0.029 0.250 0.975
S2 0.189 0.750 0.395
S3 0.346 0.022 0.774
```

Material: CsLiY2S4
Method: DFT, PBE-GGA
State: relaxed

Results
The volume is 804.6 Å³ per cell. The calculation puts the total magnetization at 0.00 μB/f.u. The calculation puts the density of states at the Fermi level at 0.000 states/eV per atom. For the uncorrected formation energy, the calculation gives -1.835 eV/atom. Its crystal system is orthorhombic.

Cell and atoms, written as CIF:
```
data_CsLiY2S4
_space_group_name_H-M_alt 'C m c m'
_space_group_IT_number 63
_space_group_name_Hall '-C 2c 2'
_cell_length_a 4.088
_cell_length_b 13.913
_cell_length_c 14.147
_cell_angle_alpha 90.00
_cell_angle_beta 90.00
_cell_angle_gamma 90.00
loop_
_atom_site_label
_atom_site_fract_x
_atom_site_fract_y
_atom_site_fract_z
Cs1 0.000 0.105 0.250
Li1 0.000 0.175 0.750
Y1 0.000 0.365 0.060
S1 0.000 0.000 0.000
S2 0.000 0.257 0.602
S3 0.000 0.410 0.250
```

> Among the records above, which one has the lowest volume?

CsLiWS4